! TbTaRuRh (PBE, relaxed); values from VASP
! ΔH_f (0 K): -1.525 eV/f.u.
! Spin magnetization: 0.0 μB/cell
&SYSTEM
  ibrav = 0, nat = 4, ntyp = 4
/
ATOMIC_SPECIES
Rh 102.91 Rh.upf
Ru 101.07 Ru.upf
Ta 180.95 Ta.upf
Tb 158.93 Tb.upf
CELL_PARAMETERS angstrom
-1.0490 -2.6545 -3.6764
3.2057 -0.8108 -3.2755
1.8763 -4.2385 -0.4213
ATOMIC_POSITIONS angstrom
Rh 1.0082 -1.9259 -1.8433
Ru 3.0247 -5.7778 -5.5299
Ta 0.0000 0.0000 0.0000
Tb 2.0165 -3.8518 -3.6866

=====

! Sr3Al (PBE, relaxed); values from VASP
! ΔH_f (0 K): 0.474 eV/f.u.
! Spin magnetization: 1.3 μB/cell
&SYSTEM
  ibrav = 0, nat = 8, ntyp = 2
/
ATOMIC_SPECIES
Sr 87.62 Sr.upf
Al 26.98 Al.upf
CELL_PARAMETERS angstrom
6.8130 0.0000 0.0000
0.0000 6.8130 0.0000
0.0000 0.0000 6.8130
ATOMIC_POSITIONS angstrom
Sr 5.1097 3.4065 0.0000
Sr 1.7032 3.4065 0.0000
Sr 0.0000 5.1097 3.4065
Sr 3.4065 0.0000 5.1097
Sr 3.4065 0.0000 1.7032
Sr 0.0000 1.7032 3.4065
Al 3.4065 3.4065 3.4065
Al 0.0000 0.0000 0.0000

=====

! Ca6Te5 (PBE, relaxed); values from VASP
! Spin magnetization: 0.0 μB/cell
! Raw formation energy: -138.9 kJ/mol of atoms
&SYSTEM
  ibrav = 0, nat = 11, ntyp = 2
/
ATOMIC_SPECIES
Ca 40.08 Ca.upf
Te 127.60 Te.upf
CELL_PARAMETERS angstrom
7.6657 0.2734 -1.0932
1.8570 6.5502 -3.6964
-0.1994 -0.1565 7.7408
ATOMIC_POSITIONS angstrom
Ca 2.3382 1.6479 -1.1614
Ca 5.8097 0.6335 4.1118
Ca 3.5137 6.0336 -1.1605
Ca 7.1845 5.1757 -3.6281
Ca 6.4804 2.8062 0.1806
Ca 2.8429 3.8610 2.7708
Te 5.2439 5.4758 1.5052
Te 4.0794 1.1913 1.4461
Te 1.1709 4.3118 0.1107
Te 0.4867 2.0819 3.9337
Te 4.7614 3.4118 -2.3948